[1]
This record from Alexandria via LeMat-Bulk describes an optimized crystal structure of MgCoSe2. The functional is GGA-PBE.

Lattice parameters (Å, degrees): 8.0653 8.0653 8.0653 25.82 25.82 25.82
Fractional positions:
Mg 0.0000 0.0000 0.0000
Co 0.7597 0.7597 0.7597
Se 0.2688 0.2688 0.2688
Se 0.4633 0.4633 0.4633

Calculated values
calculated volume	21.9	Å³/atom
total moment	0.0	μB/f.u.
excess energy over the best structure of this formula in the dataset	1.22	eV/f.u.
energy	-16.54	eV per cell
uncorrected formation energy	-0.2188	eV per atom
D(E_F)	3.08	states/eV per cell

---

[2]
This record from Alexandria via LeMat-Bulk describes an optimized crystal structure of RbCaPrF6. The functional is GGA-PBE.

Lattice parameters (Å, degrees): 8.5521 8.5521 8.5521 121.94 118.68 89.49
Fractional positions:
Rb 0.2806 0.0306 0.2500
Rb 0.7194 0.9694 0.7500
Ca 0.0000 0.0000 0.5000
Ca 0.0000 0.5000 0.0000
Pr 0.0000 0.5000 0.5000
Pr 0.5000 0.5000 0.0000
F 0.0415 0.4059 0.2191
F 0.0415 0.8223 0.6356
F 0.0611 0.8111 0.2500
F 0.3133 0.1777 0.7191
F 0.3133 0.5941 0.1356
F 0.3204 0.5704 0.7500
F 0.6796 0.4296 0.2500
F 0.6867 0.4059 0.8644
F 0.6867 0.8223 0.2809
F 0.9389 0.1889 0.7500
F 0.9585 0.1777 0.3644
F 0.9585 0.5941 0.7809

Calculated values
calculated volume	24.4	Å³/atom
total moment	0.2	μB/f.u.
energy	-103.73	eV per cell
uncorrected formation energy	-3.6545	eV per atom
D(E_F)	0.00	states/eV per cell

---

[3]
This record from Alexandria via LeMat-Bulk describes an optimized crystal structure of Nd3Be2ZnPt9. The functional is GGA-PBE.

Lattice parameters (Å, degrees): 6.7836 6.7836 6.9408 90.00 90.00 120.00
Fractional positions:
Nd 0.0000 0.0000 0.0000
Nd 0.3333 0.6667 0.6713
Nd 0.6667 0.3333 0.3287
Be 0.3333 0.6667 0.1397
Be 0.6667 0.3333 0.8603
Zn 0.0000 0.0000 0.5000
Pt 0.0000 0.5000 0.0000
Pt 0.1825 0.3650 0.3280
Pt 0.1825 0.8175 0.3280
Pt 0.3650 0.1825 0.6720
Pt 0.5000 0.0000 0.0000
Pt 0.5000 0.5000 0.0000
Pt 0.6350 0.8175 0.3280
Pt 0.8175 0.1825 0.6720
Pt 0.8175 0.6350 0.6720

Calculated values
calculated volume	18.4	Å³/atom
total moment	0.0	μB/f.u.
energy	-88.17	eV per cell
energy of formation	-69.3	kJ per mole of atoms
D(E_F)	3.89	states/eV per cell

---

[4]
This record from Alexandria via LeMat-Bulk describes an optimized crystal structure of BaPaPb3. The functional is GGA-PBE.

Lattice parameters (Å, degrees): 5.9887 5.9887 5.9887 90.00 90.00 90.00
Fractional positions:
Ba 0.0000 0.0000 0.0000
Pa 0.5000 0.5000 0.5000
Pb 0.0000 0.5000 0.5000
Pb 0.5000 0.0000 0.5000
Pb 0.5000 0.5000 0.0000

Calculated values
calculated volume	43.0	Å³/atom
total moment	1.0	μB/f.u.
energy	-21.73	eV per cell
energy of formation	15.7	kJ per mole of atoms
D(E_F)	7.45	states/eV per cell

---

[5]
This record from Alexandria via LeMat-Bulk describes an optimized crystal structure of Rb2ReBr5Cl. The functional is GGA-PBE.

Lattice parameters (Å, degrees): 7.5774 7.5774 7.5774 119.79 119.79 90.37
Fractional positions:
Rb 0.0000 0.5000 0.5000
Rb 0.5000 0.0000 0.5000
Re 0.2493 0.2493 0.0000
Br 0.0134 0.0134 0.5274
Br 0.0134 0.4861 0.0000
Br 0.4861 0.0134 0.0000
Br 0.4861 0.4861 0.4726
Br 0.4866 0.4866 0.0000
Cl 0.0268 0.0268 0.0000

Calculated values
calculated volume	34.3	Å³/atom
total moment	3.0	μB/f.u.
energy	-34.00	eV per cell
uncorrected formation energy	-1.0450	eV per atom

---

[6]
This record from Alexandria via LeMat-Bulk describes an optimized crystal structure of KGeIr. The functional is GGA-PBE.

Lattice parameters (Å, degrees): 4.2332 4.2332 8.3424 90.00 90.00 90.00
Fractional positions:
K 0.2500 0.2500 0.1672
K 0.7500 0.7500 0.8328
Ge 0.2500 0.2500 0.6573
Ge 0.7500 0.7500 0.3427
Ir 0.2500 0.7500 0.5000
Ir 0.7500 0.2500 0.5000

Calculated values
calculated volume	24.9	Å³/atom
total moment	0.0	μB/f.u.
excess energy over the best structure of this formula in the dataset	0.00	eV/f.u.
energy	-31.01	eV per cell
energy of formation	-29.8	kJ per mole of atoms
D(E_F)	0.63	states/eV per cell